(1)
This record from Alexandria describes a geometry-optimized EuTlRh2 structure. The functional is PBE.

Summary:
**ΔH_f (0 K)**: -141 meV per atom
**Fermi-level density of states**: 12.3 states/eV/cell
**Total DFT energy (no corrections)**: -27.91 eV for the cell shown
**V**: 79.5 Å³ per cell

abc: 3.4396 3.4396 6.7216
angles: 90.00 90.00 90.00
Fractional positions:
Eu 0.0000 0.0000 0.0000
Tl 0.0000 0.0000 0.5000
Rh 0.5000 0.5000 0.2754
Rh 0.5000 0.5000 0.7246

---

(2)
This record from Alexandria describes a geometry-optimized EuTl2Rh structure. The functional is PBE.

Summary:
**ΔH_f (0 K)**: -157 meV per atom
**Fermi-level density of states**: 3.2 states/eV/cell
**Total DFT energy (no corrections)**: -22.99 eV for the cell shown
**V**: 94.6 Å³ per cell

abc: 3.5282 3.5282 7.5989
angles: 90.00 90.00 90.00
Fractional positions:
Eu 0.0000 0.0000 0.0000
Tl 0.5000 0.5000 0.2974
Tl 0.5000 0.5000 0.7026
Rh 0.0000 0.0000 0.5000

---

(3)
This record from Alexandria describes a geometry-optimized EuTlRh4 structure. The functional is PBE.

Summary:
**ΔH_f (0 K)**: -188 meV per atom
**Fermi-level density of states**: 13.9 states/eV/cell
**Total DFT energy (no corrections)**: -43.18 eV for the cell shown
**V**: 108.4 Å³ per cell

abc: 5.3527 5.3527 5.3527
angles: 60.00 60.00 60.00
Fractional positions:
Eu 0.0000 0.0000 0.0000
Tl 0.2500 0.2500 0.2500
Rh 0.1267 0.6244 0.6244
Rh 0.6244 0.1267 0.6244
Rh 0.6244 0.6244 0.1267
Rh 0.6244 0.6244 0.6244

---

(4)
This record from Alexandria describes a geometry-optimized Eu3TlRh structure. The functional is PBE.

Summary:
**ΔH_f (0 K)**: -268 meV per atom
**Fermi-level density of states**: 21.5 states/eV/cell
**Total DFT energy (no corrections)**: -41.88 eV for the cell shown
**V**: 173.2 Å³ per cell

abc: 5.5737 5.5737 5.5737
angles: 90.00 90.00 90.00
Fractional positions:
Eu 0.0000 0.0000 0.5000
Eu 0.0000 0.5000 0.0000
Eu 0.5000 0.0000 0.0000
Tl 0.5000 0.5000 0.5000
Rh 0.0000 0.0000 0.0000

---

(5)
This record from Alexandria describes a geometry-optimized Eu2TlRh structure. The functional is PBE.

Summary:
**ΔH_f (0 K)**: -107 meV per atom
**Fermi-level density of states**: 49.6 states/eV/cell
**Total DFT energy (no corrections)**: -92.08 eV for the cell shown
**V**: 407.0 Å³ per cell

abc: 3.9131 3.9131 30.6901
angles: 90.00 90.00 120.00
Fractional positions:
Eu 0.0000 0.0000 0.1107
Eu 0.0000 0.0000 0.8893
Eu 0.3333 0.6667 0.5560
Eu 0.3333 0.6667 0.7774
Eu 0.6667 0.3333 0.2226
Eu 0.6667 0.3333 0.4440
Tl 0.0000 0.0000 0.0000
Tl 0.3333 0.6667 0.6667
Tl 0.6667 0.3333 0.3333
Rh 0.0000 0.0000 0.5000
Rh 0.3333 0.6667 0.1667
Rh 0.6667 0.3333 0.8333

---

(6)
This record from Alexandria describes a geometry-optimized Eu2TlRh structure. The functional is PBE.

Summary:
**ΔH_f (0 K)**: -377 meV per atom
**Fermi-level density of states**: 14.5 states/eV/cell
**Total DFT energy (no corrections)**: -31.77 eV for the cell shown
**V**: 105.4 Å³ per cell

abc: 3.6024 3.6024 8.1249
angles: 90.00 90.00 90.00
Fractional positions:
Eu 0.0000 0.0000 0.2099
Eu 0.0000 0.0000 0.7901
Tl 0.5000 0.5000 0.5000
Rh 0.5000 0.5000 0.0000